This record from the Alexandria database describes a relaxed BaSn2P crystal. The functional is PBE.

a b c (Å): 8.7244 8.7244 6.5408
angles (deg): 90.00 90.00 90.00
Space group I-42d (No. 122)
Symmetry-distinct sites (fractional):
Ba1 0.0000 0.0000 0.0000 x4
Sn1 0.1742 0.2500 0.6250 x8
P1 0.0000 0.0000 0.5000 x4

Magnetic moment in μB/atom: 0.0000
Calculated density in kg/m3: 5413
ΔE_f in eV per atom: -0.294